Density functional theory data (PBE+U) for crystalline CrPtIO2 at its relaxed geometry.

Lattice parameters (Å, degrees): 3.881 3.881 7.717 90.00 90.00 90.00
Site moments in Bohr magnetons follow the coordinates.
Sites, in units of the cell vectors:
Cr 0.500 0.500 0.500  4.37
O 0.000 0.500 0.000  0.09
O 0.500 0.000 0.000  0.09
Pt 0.000 0.000 0.000  0.17
I 0.000 0.000 0.500  -0.05

Output
As for the space group: No. 123. As for the total magnetic moment: 1.0218 μB per atom. The uncorrected energy comes out at -0.369 Ry per atom.